Entry from the Alexandria database: Tl2VPO4 after structural relaxation (GGA+U).

Computed properties:
- calculated volume (Å³ per atom) = 16.8
- M_tot (μB/cell) = 3.63
- calculated total energy (Ha/atom) = -0.224
- Fermi-level density of states (states/eV per atom) = 0.18

abc: 5.602 5.602 5.602
angles: 112.03 112.03 104.47
Fractional coordinates of all 8 atoms:
Tl (0.000, 0.000, 0.000)
Tl (0.750, 0.250, 0.500)
V (0.500, 0.500, 0.000)
P (0.250, 0.750, 0.500)
O (0.303, 0.539, 0.609)
O (0.306, 0.697, 0.236)
O (0.461, 0.070, 0.764)
O (0.930, 0.694, 0.391)